A plane-wave DFT calculation with GGA+U was carried out for a relaxed structure of Cd2NiB2O6.

Cell and atoms, written as extended XYZ:
```
11
Lattice="5.143 0.000 0.000 -2.571 4.454 0.000 0.000 0.000 5.740" Properties=species:S:1:pos:R:3 pbc="T T T"
Cd 0.000 2.969 1.658
Cd 2.571 1.485 4.082
Ni 0.000 0.000 0.000
B 0.000 2.969 4.519
B 2.571 1.485 1.221
O -1.361 3.238 4.490
O 0.448 1.656 4.490
O 1.658 0.440 1.250
O 0.913 4.013 4.490
O 2.124 2.797 1.250
O 3.932 1.216 1.250
```

Properties
Total magnetization (μB/f.u.): 1.96
SG: P-3, No. 147
Uncorrected energy (eV for the cell shown): -65.38
N(E_F) (states/eV per atom): 0.000
ρ (g/cm3): 5.07